Compound: CeAgSnO
Source: the Alexandria database
Functional: PBE
Structure: relaxed

Structure (POSCAR):
```
CeAgSnO
1.0
3.332 0.000 0.000
0.000 3.332 0.000
-1.666 -1.666 7.422
Ag Ce O Sn
1 1 1 1
direct
0.193 0.193 0.386
0.890 0.890 0.780
0.354 0.354 0.708
0.575 0.575 0.150
```

## Properties
DOS(E_F) = 1.3591 states/eV/atom
Mass density = 7713 kg/m3
Formation energy (no corrections) = -1.245 eV per atom